# 1
Here is an optimized crystal structure of CaB2Pb from Alexandria. Energies are from PBEsol.

Geometry as CIF:
```
data_CaB2Pb
_symmetry_space_group_name_H-M 'I -4 2 d'
_symmetry_Int_Tables_number 122
_symmetry_space_group_name_Hall 'I -4 2bw'
_cell_length_a 4.655
_cell_length_b 4.655
_cell_length_c 14.810
_cell_angle_alpha 90.00
_cell_angle_beta 90.00
_cell_angle_gamma 90.00
loop_
_atom_site_label
_atom_site_type_symbol
_atom_site_fract_x
_atom_site_fract_y
_atom_site_fract_z
Ca1 Ca 0.000 0.000 0.000
B1 B 0.156 0.250 0.625
Pb1 Pb 0.000 0.000 0.500
```

Results
* energy of formation: 105.9 kJ/mol of atoms
* size of the total moment: 0.000 μB per formula unit

***

# 2
Here is an optimized crystal structure of CaBPt3 from Alexandria. Energies are from PBEsol.

Geometry as CIF:
```
data_CaBPt3
_symmetry_space_group_name_H-M 'R -3 m'
_symmetry_Int_Tables_number 166
_symmetry_space_group_name_Hall '-R 3 2"'
_cell_length_a 5.7803
_cell_length_b 5.7803
_cell_length_c 8.0341
_cell_angle_alpha 90.00
_cell_angle_beta 90.00
_cell_angle_gamma 120.00
loop_
_atom_site_label
_atom_site_type_symbol
_atom_site_fract_x
_atom_site_fract_y
_atom_site_fract_z
Ca1 Ca 0.0000 0.0000 0.0000
B1 B 0.0000 0.0000 0.5000
Pt1 Pt 0.0000 0.5000 0.0000
```

Results
* energy of formation: -59.0 kJ/mol of atoms
* size of the total moment: 0.000 μB per formula unit

***

# 3
Here is an optimized crystal structure of CaBPt3 from Alexandria. Energies are from PBEsol.

Geometry as CIF:
```
data_CaBPt3
_symmetry_space_group_name_H-M 'P -6 m 2'
_symmetry_Int_Tables_number 187
_symmetry_space_group_name_Hall 'P -6 2'
_cell_length_a 5.4312
_cell_length_b 5.4312
_cell_length_c 2.9797
_cell_angle_alpha 90.00
_cell_angle_beta 90.00
_cell_angle_gamma 120.00
loop_
_atom_site_label
_atom_site_type_symbol
_atom_site_fract_x
_atom_site_fract_y
_atom_site_fract_z
Ca1 Ca 0.0000 0.0000 0.0000
B1 B 0.3333 0.6667 0.0000
Pt1 Pt 0.5033 0.0066 0.5000
```

Results
* energy of formation: -70.9 kJ/mol of atoms
* size of the total moment: 0.000 μB per formula unit

***

# 4
Here is an optimized crystal structure of CaBPt2Se from Alexandria. Energies are from PBEsol.

Geometry as CIF:
```
data_CaBPt2Se
_symmetry_space_group_name_H-M 'P 4/m m m'
_symmetry_Int_Tables_number 123
_symmetry_space_group_name_Hall '-P 4 2'
_cell_length_a 4.811
_cell_length_b 4.811
_cell_length_c 4.154
_cell_angle_alpha 90.00
_cell_angle_beta 90.00
_cell_angle_gamma 90.00
loop_
_atom_site_label
_atom_site_type_symbol
_atom_site_fract_x
_atom_site_fract_y
_atom_site_fract_z
Ca1 Ca 0.000 0.000 0.000
B1 B 0.500 0.500 0.000
Pt1 Pt 0.000 0.500 0.500
Se1 Se 0.500 0.500 0.500
```

Results
* E_form (uncorrected): 459 meV per atom
* size of the total moment: 0.000 μB per formula unit

***

# 5
Here is an optimized crystal structure of RbCa3B from Alexandria. Energies are from PBEsol.

Geometry as CIF:
```
data_RbCa3B
_symmetry_space_group_name_H-M 'P m -3 m'
_symmetry_Int_Tables_number 221
_symmetry_space_group_name_Hall '-P 4 2 3'
_cell_length_a 5.570
_cell_length_b 5.570
_cell_length_c 5.570
_cell_angle_alpha 90.00
_cell_angle_beta 90.00
_cell_angle_gamma 90.00
loop_
_atom_site_label
_atom_site_type_symbol
_atom_site_fract_x
_atom_site_fract_y
_atom_site_fract_z
Rb1 Rb 0.000 0.000 0.000
Ca1 Ca 0.000 0.500 0.500
B1 B 0.500 0.500 0.500
```

Results
* energy of formation: 32.7 kJ/mol of atoms
* size of the total moment: 0.000 μB per formula unit

***

# 6
Here is an optimized crystal structure of CaReB2 from Alexandria. Energies are from PBEsol.

Geometry as CIF:
```
data_CaReB2
_symmetry_space_group_name_H-M 'I 41/a m d'
_symmetry_Int_Tables_number 141
_cell_length_a 4.467
_cell_length_b 4.467
_cell_length_c 13.670
_cell_angle_alpha 90.00
_cell_angle_beta 90.00
_cell_angle_gamma 90.00
loop_
_symmetry_equiv_pos_as_xyz
'x,y,z'
'-x,-y,-z'
'-y+1/4,x+3/4,z+1/4'
'y+1/4,-x+3/4,-z+1/4'
'-x+1/2,-y,z+1/2'
'x+1/2,y,-z+1/2'
'y+1/4,-x+1/4,z+3/4'
'-y+1/4,x+1/4,-z+3/4'
'x,-y,-z'
'-x,y,z'
'-y+1/4,-x+1/4,-z+3/4'
'y+1/4,x+1/4,z+3/4'
'-x+1/2,y,-z+1/2'
'x+1/2,-y,z+1/2'
'y+1/4,x+3/4,-z+1/4'
'-y+1/4,-x+3/4,z+1/4'
'x+1/2,y+1/2,z+1/2'
'-x+1/2,-y+1/2,-z+1/2'
'-y+3/4,x+1/4,z+3/4'
'y+3/4,-x+1/4,-z+3/4'
'-x,-y+1/2,z'
'x,y+1/2,-z'
'y+3/4,-x+3/4,z+1/4'
'-y+3/4,x+3/4,-z+1/4'
'x+1/2,-y+1/2,-z+1/2'
'-x+1/2,y+1/2,z+1/2'
'-y+3/4,-x+3/4,-z+1/4'
'y+3/4,x+3/4,z+1/4'
'-x,y+1/2,-z'
'x,-y+1/2,z'
'y+3/4,x+1/4,-z+3/4'
'-y+3/4,-x+1/4,z+3/4'
loop_
_atom_site_label
_atom_site_type_symbol
_atom_site_fract_x
_atom_site_fract_y
_atom_site_fract_z
Ca1 Ca 0.000 0.250 0.375
Re1 Re 0.000 0.250 0.875
B1 B 0.000 0.000 0.000
```

Results
* energy of formation: 36.8 kJ/mol of atoms
* size of the total moment: 0.000 μB per formula unit

***

# 7
Here is an optimized crystal structure of Ca3ReB from Alexandria. Energies are from PBEsol.

Geometry as CIF:
```
data_Ca3ReB
_symmetry_space_group_name_H-M 'P m -3 m'
_symmetry_Int_Tables_number 221
_symmetry_space_group_name_Hall '-P 4 2 3'
_cell_length_a 5.312
_cell_length_b 5.312
_cell_length_c 5.312
_cell_angle_alpha 90.00
_cell_angle_beta 90.00
_cell_angle_gamma 90.00
loop_
_atom_site_label
_atom_site_type_symbol
_atom_site_fract_x
_atom_site_fract_y
_atom_site_fract_z
Ca1 Ca 0.000 0.000 0.500
Re1 Re 0.000 0.000 0.000
B1 B 0.500 0.500 0.500
```

Results
* energy of formation: 152.6 kJ/mol of atoms
* size of the total moment: 0.000 μB per formula unit

***

# 8
Here is an optimized crystal structure of CaTlRe2B from Alexandria. Energies are from PBEsol.

Geometry as CIF:
```
data_CaTlRe2B
_symmetry_space_group_name_H-M 'P 4/m m m'
_symmetry_Int_Tables_number 123
_symmetry_space_group_name_Hall '-P 4 2'
_cell_length_a 4.189
_cell_length_b 4.189
_cell_length_c 4.771
_cell_angle_alpha 90.00
_cell_angle_beta 90.00
_cell_angle_gamma 90.00
loop_
_atom_site_label
_atom_site_type_symbol
_atom_site_fract_x
_atom_site_fract_y
_atom_site_fract_z
Ca1 Ca 0.000 0.000 0.000
Tl1 Tl 0.500 0.500 0.000
Re1 Re 0.000 0.500 0.500
B1 B 0.000 0.000 0.500
```

Results
* energy of formation: 46.3 kJ/mol of atoms
* size of the total moment: 0.000 μB per formula unit